No. 1
# PtSOF2 (GGA-PBE, relaxed)
data_PtSOF2
_chemical_formula_sum 'Pt1 S1 O1 F2'
_cell_length_a 4.541
_cell_length_b 4.541
_cell_length_c 3.353
_cell_angle_alpha 90.00
_cell_angle_beta 90.00
_cell_angle_gamma 90.00
_space_group_name_H-M_alt 'P 1'
_space_group_IT_number 1
_space_group_name_Hall 'P 1'
loop_
_atom_site_label
_atom_site_type_symbol
_atom_site_fract_x
_atom_site_fract_y
_atom_site_fract_z
S1 S 0.000 0.000 0.000
O1 O 0.000 0.000 0.500
Pt1 Pt 0.500 0.500 0.500
F1 F 0.000 0.500 0.000
F2 F 0.500 0.000 0.000
# calculated total energy: -0.1307 hartree per atom
# raw formation energy: 0.218 eV per atom

=====

No. 2
# TlRe2W (GGA-PBE, relaxed)
data_TlRe2W
_chemical_formula_sum 'Tl1 Re2 W1'
_cell_length_a 4.919
_cell_length_b 4.919
_cell_length_c 4.919
_cell_angle_alpha 130.69
_cell_angle_beta 130.69
_cell_angle_gamma 72.31
_space_group_name_H-M_alt 'P 1'
_space_group_IT_number 1
_space_group_name_Hall 'P 1'
loop_
_atom_site_label
_atom_site_type_symbol
_atom_site_fract_x
_atom_site_fract_y
_atom_site_fract_z
Re1 Re 0.000 0.000 0.000
Re2 Re 0.500 0.500 0.000
Tl1 Tl 0.250 0.750 0.500
W1 W 0.750 0.250 0.500
# calculated total energy: -0.3387 hartree per atom
# calculated formation energy: 0.837 eV per atom

=====

No. 3
# NpNi2Sn2 (GGA-PBE, relaxed)
data_NpNi2Sn2
_chemical_formula_sum 'Np2 Ni4 Sn4'
_cell_length_a 4.359
_cell_length_b 4.545
_cell_length_c 9.908
_cell_angle_alpha 92.83
_cell_angle_beta 90.00
_cell_angle_gamma 90.00
_space_group_name_H-M_alt 'P 1'
_space_group_IT_number 1
_space_group_name_Hall 'P 1'
loop_
_atom_site_label
_atom_site_type_symbol
_atom_site_fract_x
_atom_site_fract_y
_atom_site_fract_z
Np1 Np 0.250 0.710 0.237
Np2 Np 0.750 0.290 0.763
Ni1 Ni 0.250 0.755 0.630
Ni2 Ni 0.750 0.245 0.370
Ni3 Ni 0.250 0.337 0.001
Ni4 Ni 0.750 0.663 0.999
Sn1 Sn 0.250 0.820 0.881
Sn2 Sn 0.750 0.180 0.119
Sn3 Sn 0.250 0.245 0.504
Sn4 Sn 0.750 0.755 0.496
# calculated total energy: -0.2448 hartree per atom
# calculated formation energy: -0.159 eV per atom

=====

No. 4
# PrAu2O4 (GGA-PBE, relaxed)
data_PrAu2O4
_chemical_formula_sum 'Pr2 Au4 O8'
_cell_length_a 7.991
_cell_length_b 7.741
_cell_length_c 6.022
_cell_angle_alpha 113.29
_cell_angle_beta 105.87
_cell_angle_gamma 116.66
_space_group_name_H-M_alt 'P 1'
_space_group_IT_number 1
_space_group_name_Hall 'P 1'
loop_
_atom_site_label
_atom_site_type_symbol
_atom_site_fract_x
_atom_site_fract_y
_atom_site_fract_z
Pr1 Pr 0.212 0.686 0.466
Pr2 Pr 0.038 0.064 0.034
Au1 Au 0.625 0.375 0.750
Au2 Au 0.625 0.375 0.250
Au3 Au 0.125 0.375 0.750
Au4 Au 0.625 0.875 0.250
O1 O 0.000 0.298 0.355
O2 O 0.250 0.452 0.145
O3 O 0.909 0.030 0.609
O4 O 0.397 0.191 0.325
O5 O 0.806 0.620 0.691
O6 O 0.341 0.720 0.891
O7 O 0.853 0.559 0.175
O8 O 0.444 0.130 0.809
# calculated total energy: -0.2054 hartree per atom
# raw formation energy: -1.137 eV per atom

=====

No. 5
# Mg2GeRh2 (GGA-PBE, relaxed)
data_Mg2GeRh2
_chemical_formula_sum 'Mg2 Ge1 Rh2'
_cell_length_a 3.845
_cell_length_b 5.658
_cell_length_c 5.223
_cell_angle_alpha 122.80
_cell_angle_beta 111.59
_cell_angle_gamma 90.00
_space_group_name_H-M_alt 'P 1'
_space_group_IT_number 1
_space_group_name_Hall 'P 1'
loop_
_atom_site_label
_atom_site_type_symbol
_atom_site_fract_x
_atom_site_fract_y
_atom_site_fract_z
Mg1 Mg 0.804 0.304 0.608
Mg2 Mg 0.196 0.696 0.392
Ge1 Ge 0.000 0.000 0.000
Rh1 Rh 0.500 0.741 0.000
Rh2 Rh 0.500 0.259 0.000
# calculated total energy: -0.1852 hartree per atom
# calculated formation energy: -0.537 eV per atom

=====

No. 6
# HoPaCu (GGA-PBE, relaxed)
data_HoPaCu
_chemical_formula_sum 'Ho2 Pa2 Cu2'
_cell_length_a 3.271
_cell_length_b 5.130
_cell_length_c 8.225
_cell_angle_alpha 90.00
_cell_angle_beta 101.47
_cell_angle_gamma 90.00
_space_group_name_H-M_alt 'P 1'
_space_group_IT_number 1
_space_group_name_Hall 'P 1'
loop_
_atom_site_label
_atom_site_type_symbol
_atom_site_fract_x
_atom_site_fract_y
_atom_site_fract_z
Cu1 Cu 0.416 0.250 0.831
Cu2 Cu 0.584 0.750 0.169
Ho1 Ho 0.926 0.750 0.851
Ho2 Ho 0.074 0.250 0.149
Pa1 Pa 0.766 0.250 0.532
Pa2 Pa 0.234 0.750 0.468
# calculated total energy: -0.2238 hartree per atom
# calculated formation energy: -0.032 eV per atom

=====

No. 7
# ScSb2Pb (GGA-PBE, relaxed)
data_ScSb2Pb
_chemical_formula_sum 'Sc1 Sb2 Pb1'
_cell_length_a 4.231
_cell_length_b 4.231
_cell_length_c 6.428
_cell_angle_alpha 90.00
_cell_angle_beta 90.00
_cell_angle_gamma 90.00
_space_group_name_H-M_alt 'P 1'
_space_group_IT_number 1
_space_group_name_Hall 'P 1'
loop_
_atom_site_label
_atom_site_type_symbol
_atom_site_fract_x
_atom_site_fract_y
_atom_site_fract_z
Pb1 Pb 0.500 0.500 0.811
Sb1 Sb 0.000 0.000 0.926
Sb2 Sb 0.500 0.500 0.349
Sc1 Sc 0.000 0.000 0.415
# calculated total energy: -0.1800 hartree per atom
# raw formation energy: -0.328 eV per atom

=====

No. 8
# VIn2GaTc (GGA-PBE, relaxed)
data_VIn2GaTc
_chemical_formula_sum 'V1 In2 Ga1 Tc1'
_cell_length_a 4.954
_cell_length_b 4.656
_cell_length_c 4.954
_cell_angle_alpha 90.00
_cell_angle_beta 90.00
_cell_angle_gamma 90.00
_space_group_name_H-M_alt 'P 1'
_space_group_IT_number 1
_space_group_name_Hall 'P 1'
loop_
_atom_site_label
_atom_site_type_symbol
_atom_site_fract_x
_atom_site_fract_y
_atom_site_fract_z
V1 V 0.000 0.500 0.000
Tc1 Tc 0.500 0.500 0.500
Ga1 Ga 0.000 0.000 0.000
In1 In 0.000 0.000 0.500
In2 In 0.500 0.000 0.000
# calculated total energy: -0.1557 hartree per atom
# calculated formation energy: 1.362 eV per atom

=====

Among the records above, which one has the lowest calculated total energy? TlRe2W

=====

Which of these has the lowest calculated total energy? TlRe2W

=====

What is the calculated total energy in the sixth record? -0.2238 hartree per atom

=====

calculated total energy of number 8 (VIn2GaTc)? -0.1557 hartree per atom